{
  "formula": "TiCdO3",
  "functional": "PBEsol",
  "state": "relaxed",
  "cell": [[-0.773, -3.456, -3.867], [-2.714, -4.393, 0.914], [-5.349, -0.289, -2.228]],
  "species": ["O", "O", "O", "O", "O", "O", "Cd", "Cd", "Ti", "Ti"],
  "frac_coords": [[0.196, 0.562, 0.278], [0.036, 0.804, 0.722], [0.804, 0.438, 0.722], [0.562, 0.964, 0.278], [0.438, 0.036, 0.722], [0.964, 0.196, 0.278], [0.363, 0.363, 0.910], [0.637, 0.637, 0.090], [0.850, 0.850, 0.449], [0.150, 0.150, 0.551]],
  "e_form_raw_kj_per_mol_atoms": -220.3,
  "final_energy_ev_per_cell": -73.36,
  "vol_a3_per_cell": 118
}



{
  "formula": "TiCdO3",
  "functional": "PBEsol",
  "state": "relaxed",
  "cell": [[-3.900, -1.823, 3.076], [4.020, -3.774, 0.813], [0.823, 5.226, 1.943]],
  "species": ["Cd", "Cd", "Ti", "Ti", "O", "O", "O", "O", "O", "O"],
  "frac_coords": [[0.994, 0.325, 0.653], [0.006, 0.675, 0.347], [0.298, 0.074, 0.142], [0.702, 0.926, 0.858], [0.895, 0.724, 0.942], [0.714, 0.881, 0.526], [0.105, 0.276, 0.058], [0.682, 0.241, 0.217], [0.318, 0.759, 0.783], [0.286, 0.119, 0.474]],
  "e_form_raw_kj_per_mol_atoms": -209.7,
  "final_energy_ev_per_cell": -72.26,
  "vol_a3_per_cell": 132
}



{
  "formula": "Ti3CdO",
  "functional": "PBEsol",
  "state": "relaxed",
  "cell": [[-3.925, -0.256, -1.270], [-1.251, -0.307, 3.928], [-0.338, 4.114, 0.214]],
  "species": ["Ti", "Ti", "Ti", "Cd", "O"],
  "frac_coords": [[0.500, 0.000, 0.000], [0.000, 0.000, 0.500], [0.000, 0.500, 0.000], [0.500, 0.500, 0.500], [0.000, 0.000, 0.000]],
  "e_form_raw_kj_per_mol_atoms": -109.8,
  "final_energy_ev_per_cell": -37.10,
  "vol_a3_per_cell": 71
}